1.
Here is a geometry-optimized AlOs2Ru structure from Alexandria. Energies are from PBE-GGA.

Structure (POSCAR):
```
AlOs2Ru
1.0
4.706 0.000 0.000
-1.663 4.403 0.000
0.000 0.000 2.740
Os Al Ru
2 1 1
direct
0.500 0.500 0.000 Os
0.000 0.000 0.000 Os
0.000 0.500 0.500 Al
0.500 0.000 0.500 Ru
```

## Properties
Space-group type: No. 65
Calculated total energy (eV/cell): -35.36

2.
Here is a geometry-optimized AlOsRu structure from Alexandria. Energies are from PBE-GGA.

Structure (POSCAR):
```
AlOsRu
1.0
2.770 0.000 0.000
-1.385 2.399 0.000
0.000 0.000 6.409
Al Os Ru
1 1 1
direct
0.000 0.000 0.997 Al
0.333 0.667 0.337 Os
0.667 0.333 0.666 Ru
```

## Properties
Polymorph energy (0 for the lowest one) (meV/atom): 100
Space-group type: No. 156

3.
Here is a geometry-optimized Al4Os3Ru structure from Alexandria. Energies are from PBE-GGA.

Structure (POSCAR):
```
Al4Os3Ru
1.0
3.028 0.000 0.000
0.000 4.252 0.000
0.000 0.000 8.502
Al Ru Os
4 1 3
direct
0.000 0.000 0.500 Al
0.000 0.000 0.000 Al
0.000 0.500 0.249 Al
0.000 0.500 0.751 Al
0.500 0.500 0.000 Ru
0.500 0.000 0.251 Os
0.500 0.500 0.500 Os
0.500 0.000 0.749 Os
```

## Properties
Space-group type: No. 47
Calculated total energy (eV/cell): -61.61